Record 1
## Al2AgAs (GGA-PBE)

Data for crystalline Al2AgAs at its relaxed geometry.

## Properties
As for the formation energy: 0.157 eV per atom. Its energy above the most stable polymorph in this dataset is 147 meV per atom.

Cell lengths 2.7283, 5.1772, 5.1833 Å; angles 90.00, 90.00, 90.00 degrees
Sites, in units of the cell vectors:
As1 0.5000 0.0000 0.5000
Al1 0.0000 0.0000 0.0000
Al2 0.5000 0.5000 0.0000
Ag1 0.0000 0.5000 0.5000

---

Record 2
## Al2AgAs (GGA-PBE)

Data for crystalline Al2AgAs at its relaxed geometry.

## Properties
As for the formation energy: 0.065 eV per atom. Its energy above the most stable polymorph in this dataset is 55 meV per atom.

Cell lengths 2.8829, 6.5924, 5.5443 Å; angles 44.51, 90.00, 90.00 degrees
Sites, in units of the cell vectors:
As1 0.5000 0.5000 0.5000
Al1 0.0000 0.0000 0.0000
Al2 0.5000 0.5000 0.0000
Ag1 0.0000 0.0000 0.5000

---

Record 3
## Al2AgAs (GGA-PBE)

Data for crystalline Al2AgAs at its relaxed geometry.

## Properties
As for the formation energy: 0.194 eV per atom. Its energy above the most stable polymorph in this dataset is 185 meV per atom.

Cell lengths 4.6838, 4.6838, 4.6838 Å; angles 60.00, 60.00, 60.00 degrees
Sites, in units of the cell vectors:
As1 0.0000 0.0000 0.0000
Al1 0.2500 0.2500 0.2500
Al2 0.7500 0.7500 0.7500
Ag1 0.5000 0.5000 0.5000

---

Record 4
## AlAg2As (GGA-PBE)

Data for crystalline AlAg2As at its relaxed geometry.

## Properties
As for the formation energy: 0.073 eV per atom. Its energy above the most stable polymorph in this dataset is 18 meV per atom.

Cell lengths 4.0374, 4.0025, 4.4841 Å; angles 90.00, 90.00, 90.00 degrees
Sites, in units of the cell vectors:
As1 0.0000 0.5000 0.5000
Al1 0.5000 0.0000 0.5000
Ag1 0.0000 0.0000 0.0000
Ag2 0.5000 0.5000 0.0000

---

Record 5
## AlAgMo2As (GGA-PBE)

Data for crystalline AlAgMo2As at its relaxed geometry.

## Properties
As for the formation energy: 1.941 eV per atom.

Cell lengths 5.0672, 4.6384, 5.0672 Å; angles 90.00, 90.00, 90.00 degrees
Each line ends with the local moment (μB).
Sites, in units of the cell vectors:
Mo1 0.0000 0.0000 0.5000  2.44
Mo2 0.5000 0.0000 0.0000  2.29
As1 0.0000 0.5000 0.0000  -0.06
Ag1 0.0000 0.0000 0.0000  0.15
Al1 0.5000 0.5000 0.5000  -0.05

---

Record 6
## AlAg2AsN (GGA-PBE)

Data for crystalline AlAg2AsN at its relaxed geometry.

## Properties
For the formation energy (no corrections), the calculation gives 1.443 eV/atom.

Cell lengths 5.0750, 4.7759, 5.0750 Å; angles 90.00, 90.00, 90.00 degrees
Each line ends with the local moment (μB).
Sites, in units of the cell vectors:
As1 0.0000 0.5000 0.0000  0.01
Al1 0.0000 0.0000 0.0000  0.03
Ag1 0.0000 0.0000 0.5000  0.03
Ag2 0.5000 0.0000 0.0000  0.04
N1 0.5000 0.5000 0.5000  1.75

---

no.,E_tot (eV/atom)
1,-3.590
2,-3.681
3,-3.552
4,-3.451
5,-4.640
6,-3.041